A geometry-optimized HoMg2Cd structure. Source: Alexandria via LeMat-Bulk, functional PBE-GGA.

Properties
Energy of formation from the pure elements (kJ/mol of formula units): -39
Uncorrected energy (eV/atom): -2.271
D(E_F) (states/eV/f.u.): 3.276
Magnetization (Bohr magnetons per cell): 0.00
Polymorph energy (0 for the lowest one) (meV per atom): 86

```
data_HoMg2Cd
_chemical_formula_sum 'Ho1 Mg2 Cd1'
_space_group_name_H-M_alt 'P 4/m m m'
_space_group_IT_number 123
_space_group_name_Hall '-P 4 2'
_cell_length_a 3.3882
_cell_length_b 3.3882
_cell_length_c 8.4410
_cell_angle_alpha 90.00
_cell_angle_beta 90.00
_cell_angle_gamma 90.00
loop_
_atom_site_label
_atom_site_type_symbol
_atom_site_fract_x
_atom_site_fract_y
_atom_site_fract_z
_atom_site_occupancy
Ho1 Ho 0.0000 0.0000 0.0000 1
Mg1 Mg 0.5000 0.5000 0.2784 1
Cd1 Cd 0.0000 0.0000 0.5000 1
```